Entry 1:
First-principles (PBE-GGA) data for an optimized crystal structure of Er2Pu2Tl7, as listed in Alexandria.

Computed properties:
**DFT formation energy**: 155 meV per atom
**Space-group type**: No. 12
**E_tot**: -4.7859 eV/atom

abc: 6.766 6.766 8.705
angles: 90.30 90.30 58.63
Atoms (fractional coordinates):
Er  0.250  0.750  0.000
Er  0.750  0.250  0.000
Pu  0.231  0.231  0.500
Pu  0.769  0.769  0.500
Tl  0.001  0.001  0.693
Tl  0.001  0.500  0.176
Tl  0.500  0.001  0.176
Tl  0.500  0.500  0.500
Tl  0.500  0.999  0.824
Tl  0.999  0.500  0.824
Tl  0.999  0.999  0.307



Entry 2:
First-principles (PBE-GGA) data for an optimized crystal structure of K2SrVSe, as listed in Alexandria.

Computed properties:
**Space-group type**: No. 123
**Formation energy (no corrections)**: 271 kJ/mol of formula units
**E_tot**: -2.7351 eV/atom

abc: 5.888 5.888 6.240
angles: 90.00 90.00 90.00
Atoms (fractional coordinates):
K  0.000  0.500  0.000
K  0.500  0.000  0.000
Sr  0.000  0.000  0.500
V  0.000  0.000  0.000
Se  0.500  0.500  0.500



Entry 3:
First-principles (PBE-GGA) data for an optimized crystal structure of Tb3Zn8Pd, as listed in Alexandria.

Computed properties:
**DFT formation energy**: -364 meV per atom
**Space-group type**: No. 160
**E_tot**: -2.8041 eV/atom

abc: 9.408 9.408 9.408
angles: 32.85 32.85 32.85
Atoms (fractional coordinates):
Tb  0.000  0.000  0.000
Tb  0.127  0.127  0.127
Tb  0.513  0.513  0.513
Zn  0.063  0.566  0.566
Zn  0.068  0.068  0.568
Zn  0.068  0.568  0.068
Zn  0.316  0.316  0.316
Zn  0.566  0.063  0.566
Zn  0.566  0.566  0.063
Zn  0.568  0.068  0.068
Zn  0.818  0.818  0.818
Pd  0.625  0.625  0.625



Entry 4:
First-principles (PBE-GGA) data for an optimized crystal structure of Bi9Rh2I3, as listed in Alexandria.

Computed properties:
**Space-group type**: No. 11
**Formation energy (no corrections)**: -311 kJ/mol of formula units
**E_tot**: -4.1072 eV/atom

abc: 8.437 13.840 9.491
angles: 90.00 116.25 90.00
Atoms (fractional coordinates):
Bi  0.086  0.250  0.173
Bi  0.138  0.537  0.831
Bi  0.138  0.963  0.831
Bi  0.155  0.250  0.858
Bi  0.191  0.635  0.384
Bi  0.191  0.865  0.384
Bi  0.296  0.750  0.142
Bi  0.306  0.037  0.169
Bi  0.306  0.463  0.169
Bi  0.694  0.537  0.831
Bi  0.694  0.963  0.831
Bi  0.704  0.250  0.858
Bi  0.809  0.135  0.616
Bi  0.809  0.365  0.616
Bi  0.845  0.750  0.142
Bi  0.862  0.037  0.169
Bi  0.862  0.463  0.169
Bi  0.914  0.750  0.827
Rh  0.030  0.600  0.060
Rh  0.030  0.900  0.060
Rh  0.970  0.100  0.940
Rh  0.970  0.400  0.940
I  0.298  0.097  0.594
I  0.298  0.403  0.594
I  0.409  0.750  0.818
I  0.591  0.250  0.182
I  0.702  0.597  0.406
I  0.702  0.903  0.406